No. 1
# La2ZnGaC

La2ZnGaC after structural relaxation (PBE-GGA, Alexandria via LeMat-Bulk).

The structure in POSCAR format:
```
La2ZnGaC
1.0
-0.065 -0.750 5.304
-2.658 -2.888 -0.441
3.962 -3.577 -0.457
Zn C Ga La
1 1 1 2
Direct
0.000 0.500 0.000
0.000 0.000 0.000
0.500 0.500 0.500
0.000 0.000 0.500
0.500 0.000 0.000
```

Summary:
Calculated total energy ... -0.3586 Ry/atom

***

No. 2
# Cs3Rb3Na

Cs3Rb3Na after structural relaxation (PBE-GGA, Alexandria via LeMat-Bulk).

The structure in POSCAR format:
```
Cs3Rb3Na
1.0
-2.725 7.656 -0.165
-5.288 -2.144 -12.135
-7.293 -2.358 11.004
Cs Rb Na
6 6 2
Direct
0.750 0.902 0.386
0.750 0.483 0.098
0.750 0.614 0.517
0.250 0.098 0.614
0.250 0.517 0.902
0.250 0.386 0.483
0.750 0.752 0.927
0.750 0.175 0.248
0.750 0.073 0.825
0.250 0.248 0.073
0.250 0.825 0.752
0.250 0.927 0.175
0.750 0.333 0.667
0.250 0.667 0.333
```

Summary:
Energy above the most stable polymorph in this dataset ... 0 meV/atom
Calculated total energy ... -0.0697 Ry/atom